1.
Compound: HfNiPt
Source: Alexandria via LeMat-Bulk
Functional: PBE-GGA
Structure: optimized geometry

Results
- space group = P4/nmm

a b c (Å): 3.8578 3.8561 6.6039
angles (deg): 90.00 90.00 90.00
Closest atoms and distances in Å follow each position.
Element x y z (fractional)
1 Hf 0.8136 0.8665 0.2510  5 Pt 2.69-2.77, 4 Ni 2.92
2 Hf 0.3135 0.3665 0.5881  5 Pt 2.69-2.77, 4 Ni 2.92
3 Ni 0.8137 0.3664 0.9197  4 Pt 2.59, 4 Ni 2.73
4 Ni 0.3135 0.8664 0.9196  4 Pt 2.59, 4 Ni 2.73
5 Pt 0.8135 0.8664 0.6585  4 Ni 2.59, 5 Hf 2.69-2.77
6 Pt 0.3137 0.3665 0.1807  4 Ni 2.59, 5 Hf 2.69-2.77

2.
Compound: Hf2NiPt5
Source: Alexandria via LeMat-Bulk
Functional: PBE-GGA
Structure: optimized geometry

Results
- space group = Pbam

a b c (Å): 3.9979 5.6407 11.2857
angles (deg): 90.00 90.00 90.00
Closest atoms and distances in Å follow each position.
Element x y z (fractional)
1 Hf 0.5000 0.2481 0.6228  10 Pt 2.75-2.89, 2 Ni 2.81
2 Hf 0.5000 0.7519 0.3772  10 Pt 2.75-2.89, 2 Ni 2.81
3 Hf 0.5000 0.2519 0.1228  10 Pt 2.75-2.89, 2 Ni 2.81
4 Hf 0.5000 0.7481 0.8772  10 Pt 2.75-2.89, 2 Ni 2.81
5 Ni 0.0000 0.0000 0.5000  8 Pt 2.78-2.82, 4 Hf 2.81
6 Ni 0.0000 0.5000 0.0000  8 Pt 2.78-2.82, 4 Hf 2.81
7 Pt 0.0000 0.0000 0.0000  4 Hf 2.82, 2 Ni 2.82, 6 Pt 2.83-2.85
8 Pt 0.0000 0.5000 0.5000  4 Hf 2.82, 2 Ni 2.82, 6 Pt 2.83-2.85
9 Pt 0.0000 0.5050 0.7526  1 Ni 2.79, 4 Hf 2.80-2.87, 7 Pt 2.82-2.87
10 Pt 0.0000 0.4950 0.2474  1 Ni 2.79, 4 Hf 2.80-2.87, 7 Pt 2.82-2.87
11 Pt 0.0000 0.9950 0.2526  1 Ni 2.79, 4 Hf 2.80-2.87, 7 Pt 2.82-2.87
12 Pt 0.0000 0.0050 0.7474  1 Ni 2.79, 4 Hf 2.80-2.87, 7 Pt 2.82-2.87
13 Pt 0.5000 0.2586 0.8792  4 Hf 2.75-2.89, 2 Ni 2.78, 6 Pt 2.82-2.87
14 Pt 0.5000 0.7414 0.1208  4 Hf 2.75-2.89, 2 Ni 2.78, 6 Pt 2.82-2.87
15 Pt 0.5000 0.2414 0.3792  4 Hf 2.75-2.89, 2 Ni 2.78, 6 Pt 2.82-2.87
16 Pt 0.5000 0.7586 0.6208  4 Hf 2.75-2.89, 2 Ni 2.78, 6 Pt 2.82-2.87

3.
Compound: HfNi5Pt6
Source: Alexandria via LeMat-Bulk
Functional: PBE-GGA
Structure: optimized geometry

Results
- space group = Cmmm

a b c (Å): 3.9051 7.4629 6.1408
angles (deg): 90.00 71.46 90.00
Closest atoms and distances in Å follow each position.
Element x y z (fractional)
1 Ni 0.6614 0.5000 0.6772  8 Pt 2.62-2.68, 4 Ni 2.71-2.84
2 Ni 0.3291 0.0000 0.3418  8 Pt 2.67-2.76, 2 Ni 2.68, 2 Hf 2.79
3 Ni 0.0000 0.5000 0.0000  8 Pt 2.67-2.68, 4 Ni 2.71
4 Ni 0.6709 0.0000 0.6582  8 Pt 2.67-2.76, 2 Ni 2.68, 2 Hf 2.79
5 Ni 0.3386 0.5000 0.3228  8 Pt 2.62-2.68, 4 Ni 2.71-2.84
6 Hf 0.0000 0.0000 0.0000  8 Pt 2.73-2.75, 4 Ni 2.79
7 Pt 0.8309 0.7433 0.3382  7 Ni 2.67-2.74, 4 Pt 2.71-2.77, 1 Hf 2.75
8 Pt 0.8309 0.2567 0.3382  7 Ni 2.67-2.74, 4 Pt 2.71-2.77, 1 Hf 2.75
9 Pt 0.5000 0.2563 0.0000  6 Ni 2.62-2.76, 2 Hf 2.73, 4 Pt 2.77
10 Pt 0.5000 0.7437 0.0000  6 Ni 2.62-2.76, 2 Hf 2.73, 4 Pt 2.77
11 Pt 0.1691 0.7433 0.6618  7 Ni 2.67-2.74, 4 Pt 2.71-2.77, 1 Hf 2.75
12 Pt 0.1691 0.2567 0.6618  7 Ni 2.67-2.74, 4 Pt 2.71-2.77, 1 Hf 2.75

Calculated formation energy (eV/atom)
-0.81; -1.03; -0.37
DOS(E_F) (states/eV/f.u.)
1.2; 0.6; 15.9
Raw total energy (eV per atom)
-8.07; -8.01; -6.63